1.
LiGa2Re2: relaxed, GGA-PBE.

It has space group I4/mmm (No. 139), with a = 3.708 Å, b = 3.708 Å, c = 12.377 Å, α = 90.00°, β = 90.00° and γ = 90.00°. The distinct sites, in fractional coordinates, are Li at (0.000, 0.000, 0.000), Ga at (0.000, 0.000, 0.402) and Re at (0.000, 0.500, 0.250).

For the energy of formation, the calculation gives 0.2057 eV/atom. Its density of states at the Fermi level is 5.4 states/eV per cell. Its polymorph energy (0 for the lowest one) is 0 meV/atom.


2.
LiGa2Re2: relaxed, GGA-PBE.

It has space group P4/mbm (No. 127), with a = 6.475 Å, b = 6.475 Å, c = 3.490 Å, α = 90.00°, β = 90.00° and γ = 90.00°. The distinct sites, in fractional coordinates, are Li at (0.000, 0.000, 0.000), Ga at (0.139, 0.361, 0.000) and Re at (0.162, 0.662, 0.500).

For the energy of formation, the calculation gives 0.2696 eV/atom. Its density of states at the Fermi level is 9.7 states/eV per cell. Its polymorph energy (0 for the lowest one) is 64 meV/atom.


3.
LiGaReRu: relaxed, GGA-PBE.

It has space group Pm (No. 6), with a = 2.767 Å, b = 4.126 Å, c = 5.207 Å, α = 90.00°, β = 103.99° and γ = 90.00°. The distinct sites, in fractional coordinates, are Li at (0.000, 0.000, 0.000), Ga at (0.593, 0.500, 0.178), Re at (0.313, 0.500, 0.672) and Ru at (0.727, 0.000, 0.487).

For the energy of formation, the calculation gives 0.0129 eV/atom. Its density of states at the Fermi level is 2.6 states/eV per cell. Its polymorph energy (0 for the lowest one) is 95 meV/atom.


4.
LiGaReRu: relaxed, GGA-PBE.

It has space group Pmm2 (No. 25), with a = 2.838 Å, b = 3.506 Å, c = 5.653 Å, α = 90.00°, β = 90.00° and γ = 90.00°. The distinct sites, in fractional coordinates, are Li at (0.000, 0.000, 0.000), Ga at (0.500, 0.500, 0.221), Re at (0.000, 0.000, 0.511) and Ru at (0.500, 0.500, 0.736).

For the energy of formation, the calculation gives -0.0306 eV/atom. Its density of states at the Fermi level is 1.2 states/eV per cell. Its polymorph energy (0 for the lowest one) is 52 meV/atom.